(1)
# NbAgI3

A crystal of NbAgI3 relaxed with PBEsol (meta-GGA SCAN, the Alexandria database).

DOS(E_F): 3.2 states/eV/f.u.
Crystal system: cubic
SG: Pm-3m, No. 221
E: -34.713 eV/atom
Total magnetization: 2.82 μB per cell
Raw formation energy: 0.2311 eV per atom

Lattice parameters (Å, degrees): 5.487 5.487 5.487 90.00 90.00 90.00
Site moments in Bohr magnetons follow the coordinates.
Element x y z (fractional)
Nb1 0.000 0.000 0.000  1.89
I1 0.500 0.000 0.000  0.01
I2 0.000 0.000 0.500  0.01
I3 0.000 0.500 0.000  0.01
Ag1 0.500 0.500 0.500  0.11

=====

(2)
# La2MgAl

A crystal of La2MgAl relaxed with PBEsol (meta-GGA SCAN, the Alexandria database).

DOS(E_F): 3.5 states/eV/f.u.
Crystal system: monoclinic
Energy relative to the elements: -2 meV/atom
SG: C2/m, No. 12
E: -24.736 eV/atom
Total magnetization: 0.00 μB per cell

Lattice parameters (Å, degrees): 3.308 5.845 5.969 97.64 90.00 106.44
Element x y z (fractional)
La1 0.243 0.487 0.221
La2 0.757 0.513 0.779
Mg1 0.000 0.000 0.500
Al1 0.500 0.000 0.000

=====

(3)
# MgAsAu2F

A crystal of MgAsAu2F relaxed with PBEsol (meta-GGA SCAN, the Alexandria database).

DOS(E_F): 1.2 states/eV/f.u.
Crystal system: tetragonal
SG: P4/mmm, No. 123
E: -33.872 eV/atom
Total magnetization: 0.00 μB per cell
Raw formation energy: -0.4684 eV per atom

Lattice parameters (Å, degrees): 3.543 5.023 5.023 90.00 90.00 90.00
Element x y z (fractional)
As1 0.500 0.500 0.500
F1 0.000 0.000 0.000
Au1 0.000 0.500 0.000
Au2 0.000 0.000 0.500
Mg1 0.500 0.000 0.000

=====

(4)
# YHgRh2

A crystal of YHgRh2 relaxed with PBEsol (meta-GGA SCAN, the Alexandria database).

DOS(E_F): 3.1 states/eV/f.u.
Crystal system: tetragonal
Energy relative to the elements: -600 meV/atom
SG: P4/mmm, No. 123
E: -41.488 eV/atom
Total magnetization: 0.00 μB per cell

Lattice parameters (Å, degrees): 3.725 4.304 4.304 90.00 90.00 90.00
Element x y z (fractional)
Rh1 0.000 0.500 0.000
Rh2 0.000 0.000 0.500
Hg1 0.500 0.000 0.000
Y1 0.500 0.500 0.500

=====

(5)
# KSr2BH

A crystal of KSr2BH relaxed with PBEsol (meta-GGA SCAN, the Alexandria database).

DOS(E_F): 2.1 states/eV/f.u.
Crystal system: tetragonal
SG: P4/mmm, No. 123
E: -12.253 eV/atom
Total magnetization: 0.97 μB per cell

Lattice parameters (Å, degrees): 4.666 5.107 5.107 90.00 90.00 90.00
Site moments in Bohr magnetons follow the coordinates.
Element x y z (fractional)
H1 0.000 0.000 0.000  0.00
K1 0.500 0.000 0.000  0.00
Sr1 0.000 0.000 0.500  0.02
Sr2 0.000 0.500 0.000  0.02
B1 0.500 0.500 0.500  0.30

=====

(6)
# Tl2ZnMo

A crystal of Tl2ZnMo relaxed with PBEsol (meta-GGA SCAN, the Alexandria database).

DOS(E_F): 2.3 states/eV/f.u.
Crystal system: orthorhombic
Energy relative to the elements: 565 meV/atom
SG: Amm2, No. 38
E: -47.714 eV/atom
Total magnetization: 0.00 μB per cell

Lattice parameters (Å, degrees): 3.603 4.165 5.603 90.00 108.76 90.00
Element x y z (fractional)
Mo1 0.549 0.500 0.098
Tl1 0.978 0.000 0.957
Tl2 0.277 0.500 0.553
Zn1 0.696 0.000 0.393

=====

(7)
# BaPHCl2

A crystal of BaPHCl2 relaxed with PBEsol (meta-GGA SCAN, the Alexandria database).

DOS(E_F): 3.1 states/eV/f.u.
Crystal system: tetragonal
SG: P4/mmm, No. 123
E: -14.117 eV/atom
Total magnetization: 2.16 μB per cell

Lattice parameters (Å, degrees): 4.725 4.601 4.601 90.00 90.00 90.00
Site moments in Bohr magnetons follow the coordinates.
Element x y z (fractional)
P1 0.500 0.500 0.500  0.87
H1 0.000 0.000 0.000  -0.01
Cl1 0.000 0.500 0.000  0.10
Cl2 0.000 0.000 0.500  0.10
Ba1 0.500 0.000 0.000  0.04

=====

(8)
# PRuS2

A crystal of PRuS2 relaxed with PBEsol (meta-GGA SCAN, the Alexandria database).

DOS(E_F): 2.5 states/eV/f.u.
Crystal system: trigonal
SG: R-3m, No. 166
E: -15.967 eV/atom
Total magnetization: 0.00 μB per cell
Raw formation energy: 0.1533 eV per atom

Lattice parameters (Å, degrees): 3.401 3.401 7.401 76.72 76.72 60.00
Element x y z (fractional)
P1 0.000 0.000 0.000
Ru1 0.500 0.500 0.500
S1 0.108 0.108 0.675
S2 0.892 0.892 0.325

=====

(9)
# Be3TlAs

A crystal of Be3TlAs relaxed with PBEsol (meta-GGA SCAN, the Alexandria database).

DOS(E_F): 2.0 states/eV/f.u.
Crystal system: cubic
Energy relative to the elements: 796 meV/atom
SG: Pm-3m, No. 221
E: -20.326 eV/atom
Total magnetization: 0.00 μB per cell

Lattice parameters (Å, degrees): 4.366 4.366 4.366 90.00 90.00 90.00
Element x y z (fractional)
Be1 0.000 0.000 0.500
Be2 0.000 0.500 0.000
Be3 0.500 0.000 0.000
As1 0.000 0.000 0.000
Tl1 0.500 0.500 0.500

=====

(10)
# CsZr2TcCl

A crystal of CsZr2TcCl relaxed with PBEsol (meta-GGA SCAN, the Alexandria database).

DOS(E_F): 4.1 states/eV/f.u.
Crystal system: tetragonal
SG: P4/mmm, No. 123
E: -27.463 eV/atom
Total magnetization: 0.00 μB per cell
Raw formation energy: 0.9861 eV per atom

Lattice parameters (Å, degrees): 4.439 4.949 4.949 90.00 90.00 90.00
Element x y z (fractional)
Tc1 0.500 0.000 0.000
Cl1 0.000 0.000 0.000
Zr1 0.000 0.000 0.500
Zr2 0.000 0.500 0.000
Cs1 0.500 0.500 0.500

=====

(11)
# Zr2Zn

A crystal of Zr2Zn relaxed with PBEsol (meta-GGA SCAN, the Alexandria database).

DOS(E_F): 3.0 states/eV/f.u.
Crystal system: cubic
Energy relative to the elements: -184 meV/atom
SG: Fd-3m, No. 227
E: -25.154 eV/atom
Total magnetization: 0.00 μB per cell

Lattice parameters (Å, degrees): 8.723 8.723 8.723 60.00 60.00 60.00
Element x y z (fractional)
Zr1 0.937 0.937 0.563
Zr2 0.313 0.687 0.313
Zr3 0.625 0.125 0.125
Zr4 0.563 0.563 0.937
Zr5 0.937 0.563 0.937
Zr6 0.563 0.937 0.937
Zr7 0.125 0.125 0.625
Zr8 0.937 0.563 0.563
Zr9 0.125 0.125 0.125
Zr10 0.313 0.687 0.687
Zr11 0.687 0.313 0.687
Zr12 0.313 0.313 0.687
Zr13 0.687 0.687 0.313
Zr14 0.125 0.625 0.125
Zr15 0.687 0.313 0.313
Zr16 0.563 0.937 0.563
Zn1 0.268 0.911 0.911
Zn2 0.911 0.911 0.268
Zn3 0.982 0.339 0.339
Zn4 0.911 0.268 0.911
Zn5 0.911 0.911 0.911
Zn6 0.339 0.339 0.982
Zn7 0.339 0.982 0.339
Zn8 0.339 0.339 0.339

=====

(12)
# PdAuSeBr2

A crystal of PdAuSeBr2 relaxed with PBEsol (meta-GGA SCAN, the Alexandria database).

DOS(E_F): 3.2 states/eV/f.u.
Crystal system: tetragonal
SG: P4/mmm, No. 123
E: -31.587 eV/atom
Total magnetization: 1.51 μB per cell
Raw formation energy: 0.5984 eV per atom

Lattice parameters (Å, degrees): 5.087 5.077 5.077 90.00 90.00 90.00
Site moments in Bohr magnetons follow the coordinates.
Element x y z (fractional)
Br1 0.000 0.000 0.500  0.05
Br2 0.000 0.500 0.000  0.05
Pd1 0.500 0.500 0.500  0.74
Au1 0.000 0.000 0.000  0.03
Se1 0.500 0.000 0.000  0.40

=====

(13)
# FeSbIr2

A crystal of FeSbIr2 relaxed with PBEsol (meta-GGA SCAN, the Alexandria database).

DOS(E_F): 3.0 states/eV/f.u.
Crystal system: orthorhombic
SG: Immm, No. 71
E: -49.091 eV/atom
Total magnetization: 2.81 μB per cell
Raw formation energy: 0.3059 eV per atom

Lattice parameters (Å, degrees): 2.915 4.595 5.263 115.88 106.08 90.00
Site moments in Bohr magnetons follow the coordinates.
Element x y z (fractional)
Ir1 0.754 0.754 0.509  0.09
Ir2 0.246 0.246 0.491  0.09
Fe1 0.000 0.500 0.000  2.75
Sb1 0.500 0.000 0.000  -0.05

=====

(14)
# CrRe5B2

A crystal of CrRe5B2 relaxed with PBEsol (meta-GGA SCAN, the Alexandria database).

DOS(E_F): 4.3 states/eV/f.u.
Crystal system: orthorhombic
Energy relative to the elements: -205 meV/atom
SG: Amm2, No. 38
E: -48.796 eV/atom
Total magnetization: 0.10 μB per cell

Lattice parameters (Å, degrees): 2.881 4.847 7.140 90.00 90.00 107.29
Site moments in Bohr magnetons follow the coordinates.
Element x y z (fractional)
Re1 0.132 0.264 0.817  -0.01
Re2 0.864 0.728 0.696  -0.01
Re3 0.132 0.264 0.183  -0.01
Re4 0.571 0.143 0.500  -0.01
Re5 0.864 0.728 0.304  -0.01
Cr1 0.426 0.852 0.000  0.15
B1 0.755 0.511 0.000  -0.01
B2 0.256 0.512 0.500  0.00

=====

(15)
# ZrCoAg2

A crystal of ZrCoAg2 relaxed with PBEsol (meta-GGA SCAN, the Alexandria database).

DOS(E_F): 1.2 states/eV/f.u.
Crystal system: tetragonal
Energy relative to the elements: 64 meV/atom
SG: I4/mmm, No. 139
E: -27.620 eV/atom
Total magnetization: 0.00 μB per cell
ΔE to the lowest computed polymorph: 0 meV per atom

Lattice parameters (Å, degrees): 3.752 3.745 5.190 111.15 111.19 90.00
Element x y z (fractional)
Ag1 0.250 0.250 0.501
Ag2 0.750 0.750 0.499
Co1 0.500 0.000 0.000
Zr1 0.000 0.500 0.000

=====

(16)
# Pm3Pr

A crystal of Pm3Pr relaxed with PBEsol (meta-GGA SCAN, the Alexandria database).

DOS(E_F): 6.3 states/eV/f.u.
Crystal system: hexagonal
Energy relative to the elements: 30 meV/atom
SG: P6_3/mmc, No. 194
E: -43.791 eV/atom
Total magnetization: 0.00 μB per cell
ΔE to the lowest computed polymorph: 18 meV per atom

Lattice parameters (Å, degrees): 5.839 7.193 7.193 120.00 90.00 90.00
Element x y z (fractional)
Pr1 0.250 0.667 0.333
Pr2 0.750 0.333 0.667
Pm1 0.250 0.667 0.834
Pm2 0.250 0.166 0.333
Pm3 0.250 0.166 0.834
Pm4 0.750 0.333 0.166
Pm5 0.750 0.834 0.667
Pm6 0.750 0.834 0.166

=====

(17)
# BaCdBi2

A crystal of BaCdBi2 relaxed with PBEsol (meta-GGA SCAN, the Alexandria database).

DOS(E_F): 1.4 states/eV/f.u.
Crystal system: tetragonal
Energy relative to the elements: -601 meV/atom
SG: I4/mmm, No. 139
E: -57.381 eV/atom
Total magnetization: 0.00 μB per cell

Lattice parameters (Å, degrees): 4.688 4.688 12.291 100.99 100.99 90.00
Element x y z (fractional)
Bi1 0.500 0.000 0.000
Bi2 0.669 0.669 0.338
Bi3 0.331 0.331 0.662
Bi4 0.000 0.500 0.000
Ba1 0.117 0.117 0.234
Ba2 0.883 0.883 0.766
Cd1 0.750 0.250 0.500
Cd2 0.250 0.750 0.500

=====

(18)
# NaHgRu2Au

A crystal of NaHgRu2Au relaxed with PBEsol (meta-GGA SCAN, the Alexandria database).

DOS(E_F): 2.5 states/eV/f.u.
Crystal system: tetragonal
Energy relative to the elements: 1930 meV/atom
SG: P4/mmm, No. 123
E: -40.308 eV/atom
Total magnetization: 4.07 μB per cell

Lattice parameters (Å, degrees): 4.523 4.523 4.668 90.00 90.00 90.00
Site moments in Bohr magnetons follow the coordinates.
Element x y z (fractional)
Hg1 0.000 0.000 0.500  -0.02
Ru1 0.500 0.000 0.000  2.11
Ru2 0.000 0.500 0.000  2.11
Au1 0.500 0.500 0.500  0.01
Na1 0.000 0.000 0.000  -0.01

=====

(19)
# Be3Au5

A crystal of Be3Au5 relaxed with PBEsol (meta-GGA SCAN, the Alexandria database).

DOS(E_F): 1.8 states/eV/f.u.
Crystal system: tetragonal
Energy relative to the elements: -200 meV/atom
SG: I4/mcm, No. 140
E: -45.055 eV/atom
Total magnetization: 0.00 μB per cell
ΔE to the lowest computed polymorph: 0 meV per atom

Lattice parameters (Å, degrees): 5.280 6.998 6.998 81.82 67.84 67.84
Element x y z (fractional)
Be1 0.663 0.500 0.174
Be2 0.337 0.500 0.826
Be3 0.837 0.826 0.500
Be4 0.750 0.000 0.000
Be5 0.250 0.000 0.000
Be6 0.163 0.174 0.500
Au1 0.210 0.865 0.714
Au2 0.575 0.135 0.714
Au3 0.710 0.714 0.865
Au4 0.075 0.714 0.135
Au5 0.790 0.135 0.286
Au6 0.290 0.286 0.135
Au7 0.925 0.286 0.865
Au8 0.750 0.500 0.500
Au9 0.425 0.865 0.286
Au10 0.250 0.500 0.500

=====

(20)
# CoNi2Sb

A crystal of CoNi2Sb relaxed with PBEsol (meta-GGA SCAN, the Alexandria database).

DOS(E_F): 3.2 states/eV/f.u.
Crystal system: tetragonal
SG: I-4m2, No. 119
E: -21.706 eV/atom
Total magnetization: 1.84 μB per cell
Raw formation energy: 0.0215 eV per atom

Lattice parameters (Å, degrees): 3.757 3.757 4.376 115.42 115.42 90.00
Site moments in Bohr magnetons follow the coordinates.
Element x y z (fractional)
Ni1 0.250 0.750 0.500  0.23
Ni2 0.000 0.000 0.000  0.38
Co1 0.750 0.250 0.500  1.36
Sb1 0.500 0.500 0.000  -0.01

=====

(21)
# ReAg2Se

A crystal of ReAg2Se relaxed with PBEsol (meta-GGA SCAN, the Alexandria database).

DOS(E_F): 2.3 states/eV/f.u.
Crystal system: tetragonal
SG: P4mm, No. 99
E: -38.095 eV/atom
Total magnetization: 0.00 μB per cell
Raw formation energy: 0.3820 eV per atom

Lattice parameters (Å, degrees): 3.027 3.027 7.267 90.00 90.00 90.00
Element x y z (fractional)
Re1 0.000 0.000 0.522
Ag1 0.500 0.500 0.261
Ag2 0.000 0.000 0.012
Se1 0.500 0.500 0.705

=====

(22)
# MgOsRh2

A crystal of MgOsRh2 relaxed with PBEsol (meta-GGA SCAN, the Alexandria database).

DOS(E_F): 2.9 states/eV/f.u.
Crystal system: orthorhombic
Energy relative to the elements: -151 meV/atom
SG: Cmmm, No. 65
E: -36.251 eV/atom
Total magnetization: 0.00 μB per cell

Lattice parameters (Å, degrees): 2.723 4.644 4.644 106.92 90.00 90.00
Element x y z (fractional)
Os1 0.500 0.500 0.500
Rh1 0.000 0.500 0.000
Rh2 0.000 0.000 0.500
Mg1 0.500 0.000 0.000

=====

(23)
# SiAg3O

A crystal of SiAg3O relaxed with PBEsol (meta-GGA SCAN, the Alexandria database).

DOS(E_F): 2.8 states/eV/f.u.
Crystal system: cubic
SG: Pm-3m, No. 221
E: -21.190 eV/atom
Total magnetization: 2.49 μB per cell
Raw formation energy: 0.8793 eV per atom

Lattice parameters (Å, degrees): 4.681 4.681 4.681 90.00 90.00 90.00
Site moments in Bohr magnetons follow the coordinates.
Element x y z (fractional)
Ag1 0.000 0.500 0.000  0.19
Ag2 0.000 0.000 0.500  0.19
Ag3 0.500 0.000 0.000  0.19
O1 0.500 0.500 0.500  1.22
Si1 0.000 0.000 0.000  0.24

=====

(24)
# Co7Si

A crystal of Co7Si relaxed with PBEsol (meta-GGA SCAN, the Alexandria database).

DOS(E_F): 3.6 states/eV/f.u.
Crystal system: cubic
SG: Fm-3m, No. 225
E: -16.489 eV/atom
Total magnetization: 11.08 μB per cell
Raw formation energy: -0.0955 eV per atom

Lattice parameters (Å, degrees): 4.893 4.893 4.893 60.00 60.00 60.00
Site moments in Bohr magnetons follow the coordinates.
Element x y z (fractional)
Co1 0.500 0.500 0.500  1.79
Co2 0.500 0.000 0.500  1.58
Co3 0.500 0.500 0.000  1.58
Co4 0.500 0.000 0.000  1.58
Co5 0.000 0.500 0.000  1.58
Co6 0.000 0.000 0.500  1.58
Co7 0.000 0.500 0.500  1.58
Si1 0.000 0.000 0.000  -0.02

=====

(25)
# Ca2CdPPd

A crystal of Ca2CdPPd relaxed with PBEsol (meta-GGA SCAN, the Alexandria database).

DOS(E_F): 2.2 states/eV/f.u.
Crystal system: tetragonal
Energy relative to the elements: 323 meV/atom
SG: P4/mmm, No. 123
E: -18.260 eV/atom
Total magnetization: 0.00 μB per cell

Lattice parameters (Å, degrees): 4.568 5.690 5.690 90.00 90.00 90.00
Element x y z (fractional)
Cd1 0.000 0.000 0.000
Ca1 0.000 0.000 0.500
Ca2 0.000 0.500 0.000
Pd1 0.500 0.500 0.500
P1 0.500 0.000 0.000

=====

(26)
# CrReO2F

A crystal of CrReO2F relaxed with PBEsol (meta-GGA SCAN, the Alexandria database).

DOS(E_F): 0.8 states/eV/f.u.
Crystal system: tetragonal
SG: P4/mmm, No. 123
E: -21.816 eV/atom
Total magnetization: 8.00 μB per cell
Raw formation energy: -0.7191 eV per atom

Lattice parameters (Å, degrees): 3.806 3.884 3.884 90.00 90.00 90.00
Site moments in Bohr magnetons follow the coordinates.
Element x y z (fractional)
O1 0.000 0.000 0.500  0.14
O2 0.000 0.500 0.000  0.14
Cr1 0.000 0.000 0.000  2.74
Re1 0.500 0.500 0.500  3.86
F1 0.500 0.000 0.000  0.09

=====

(27)
# HgAsSe2

A crystal of HgAsSe2 relaxed with PBEsol (meta-GGA SCAN, the Alexandria database).

DOS(E_F): 2.1 states/eV/f.u.
Crystal system: tetragonal
SG: P4/mmm, No. 123
E: -31.941 eV/atom
Total magnetization: 0.00 μB per cell
Raw formation energy: 0.1878 eV per atom
ΔE to the lowest computed polymorph: 0 meV per atom

Lattice parameters (Å, degrees): 3.933 3.933 5.584 90.00 90.00 90.00
Element x y z (fractional)
Se1 0.000 0.000 0.000
Se2 0.500 0.500 0.000
Hg1 0.000 0.000 0.500
As1 0.500 0.500 0.500